Compound: HoZrAlHg
Source: Alexandria via LeMat-Bulk
Functional: PBE
Structure: relaxed

Uncorrected energy: -4.56 eV/atom
N(E_F): 0.405 states/eV/atom
Calculated density: 8.964 g/cm3
Formation enthalpy at 0 K: -0.270 eV/atom

Cell lengths 5.0229, 5.0229, 5.0229 Å; angles 60.00, 60.00, 60.00 degrees
Last column: nearest neighbours and their distance in Å.
Sites, in units of the cell vectors:
Ho (0.7500, 0.7500, 0.7500)  4 Al 3.08, 4 Hg 3.08
Zr (0.2500, 0.2500, 0.2500)  4 Hg 3.08, 4 Al 3.08
Al (0.5000, 0.5000, 0.5000)  4 Zr 3.08, 4 Ho 3.08
Hg (0.0000, 0.0000, 0.0000)  4 Ho 3.08, 4 Zr 3.08


Compound: KGa3Sn
Source: Alexandria via LeMat-Bulk
Functional: PBE
Structure: relaxed

Uncorrected energy: -2.56 eV/atom
Polymorph energy (0 for the lowest one): 35.2 kJ per mole of atoms
N(E_F): 0.586 states/eV/atom
Calculated density: 3.506 g/cm3
Formation enthalpy at 0 K: 0.277 eV/atom

Cell lengths 5.5808, 5.5808, 5.5808 Å; angles 90.00, 90.00, 90.00 degrees
Last column: nearest neighbours and their distance in Å.
Sites, in units of the cell vectors:
Ga (0.5000, 0.0000, 0.0000)  2 Sn 2.79
Ga (0.0000, 0.0000, 0.5000)  2 Sn 2.79
Sn (0.0000, 0.0000, 0.0000)  6 Ga 2.79
Ga (0.0000, 0.5000, 0.0000)  2 Sn 2.79
K (0.5000, 0.5000, 0.5000)  12 Ga 3.95


Compound: YCd2Ni
Source: Alexandria via LeMat-Bulk
Functional: PBE
Structure: relaxed

Uncorrected energy: -3.47 eV/atom
N(E_F): 0.754 states/eV/atom
Calculated density: 6.912 g/cm3
Formation enthalpy at 0 K: 0.046 eV/atom

Cell lengths 4.0836, 4.0836, 11.1117 Å; angles 79.41, 79.41, 90.00 degrees
Last column: nearest neighbours and their distance in Å.
Sites, in units of the cell vectors:
Cd (0.3750, 0.3953, 0.7500)  4 Cd 2.77-3.01, 2 Ni 3.02, 2 Y 3.08
Ni (0.2500, 0.7500, 0.5000)  4 Y 2.89, 4 Cd 3.02
Ni (0.5000, 0.5000, 0.0000)  4 Y 2.89, 4 Cd 3.02
Y (0.7500, 0.2500, 0.5000)  4 Ni 2.89, 4 Cd 3.08
Cd (0.8750, 0.8547, 0.7500)  4 Cd 2.77-3.01, 2 Ni 3.02, 2 Y 3.08
Cd (0.1453, 0.6250, 0.2500)  4 Cd 2.77-3.01, 2 Ni 3.02, 2 Y 3.08
Y (0.0000, 0.0000, 0.0000)  4 Ni 2.89, 4 Cd 3.08
Cd (0.6047, 0.1250, 0.2500)  4 Cd 2.77-3.01, 2 Ni 3.02, 2 Y 3.08


Compound: Ce3HoRu4
Source: Alexandria via LeMat-Bulk
Functional: PBE
Structure: relaxed

Uncorrected energy: -7.78 eV/atom
N(E_F): 0.876 states/eV/atom
Calculated density: 10.095 g/cm3
Formation enthalpy at 0 K: -0.341 eV/atom

Cell lengths 4.9319, 4.9319, 8.2353 Å; angles 72.58, 72.58, 60.00 degrees
Last column: nearest neighbours and their distance in Å.
Sites, in units of the cell vectors:
Ho (0.0000, 0.0000, 0.0000)  8 Ru 2.99-3.01
Ru (0.1290, 0.1290, 0.6130)  7 Ce 2.84-3.05, 1 Ho 2.99
Ru (0.6247, 0.6247, 0.1259)  5 Ce 2.87-2.99, 3 Ho 3.01
Ce (0.7486, 0.7486, 0.7542)  8 Ru 2.84-3.05
Ce (0.2514, 0.2514, 0.2458)  8 Ru 2.84-3.05
Ce (0.5000, 0.5000, 0.5000)  8 Ru 2.89-2.98
Ru (0.3753, 0.3753, 0.8741)  5 Ce 2.87-2.99, 3 Ho 3.01
Ru (0.8710, 0.8710, 0.3870)  7 Ce 2.84-3.05, 1 Ho 2.99


Compound: SrNb2Cl2
Source: Alexandria via LeMat-Bulk
Functional: PBE
Structure: relaxed

Uncorrected energy: -4.73 eV/atom
Polymorph energy (0 for the lowest one): 46.6 kJ per mole of atoms
Formation energy from raw total energies: 0.370 eV per atom
N(E_F): 1.188 states/eV/atom
Calculated density: 4.383 g/cm3

Cell lengths 8.8951, 8.8951, 3.2973 Å; angles 90.00, 90.00, 90.00 degrees
Last column: nearest neighbours and their distance in Å.
Sites, in units of the cell vectors:
Nb (0.4068, 0.9068, 0.0000)  1 Nb 2.34, 2 Cl 2.56
Nb (0.9068, 0.5932, 0.0000)  1 Nb 2.34, 2 Cl 2.56
Cl (0.7514, 0.7486, 0.5000)  2 Nb 2.56
Sr (0.5000, 0.5000, 0.0000)  2 Sr 3.30, 8 Cl 3.55
Sr (0.0000, 0.0000, 0.0000)  2 Sr 3.30, 8 Cl 3.55
Cl (0.7486, 0.2486, 0.5000)  2 Nb 2.56
Cl (0.2486, 0.2514, 0.5000)  2 Nb 2.56
Cl (0.2514, 0.7514, 0.5000)  2 Nb 2.56
Nb (0.5932, 0.0932, 0.0000)  1 Nb 2.34, 2 Cl 2.56
Nb (0.0932, 0.4068, 0.0000)  1 Nb 2.34, 2 Cl 2.56


Compound: AcCe3Pm2Se6
Source: Alexandria via LeMat-Bulk
Functional: PBE
Structure: relaxed

Uncorrected energy: -6.18 eV/atom
Formation energy from raw total energies: -1.825 eV per atom
N(E_F): 1.685 states/eV/atom
Calculated density: 7.194 g/cm3

Cell lengths 7.3515, 7.3515, 7.3838 Å; angles 99.58, 99.58, 120.05 degrees
Last column: nearest neighbours and their distance in Å.
Sites, in units of the cell vectors:
Ac (0.0000, 0.0000, 0.0000)  6 Se 3.07-3.09
Se (0.5715, 0.9145, 0.7440)  3 Ce 2.96-3.01, 2 Pm 3.00, 1 Ac 3.09
Pm (0.3327, 0.6673, 0.0000)  6 Se 2.99-3.00
Ce (0.8369, 0.1631, 0.5000)  6 Se 2.96-3.01
Se (0.4285, 0.0855, 0.2560)  3 Ce 2.96-3.01, 2 Pm 3.00, 1 Ac 3.09
Ce (0.1631, 0.8369, 0.5000)  6 Se 2.96-3.01
Ce (0.5000, 0.5000, 0.5000)  6 Se 2.94-3.01
Pm (0.6673, 0.3327, 0.0000)  6 Se 2.99-3.00
Se (0.9145, 0.5715, 0.7440)  3 Ce 2.96-3.01, 2 Pm 3.00, 1 Ac 3.09
Se (0.2596, 0.2596, 0.7484)  3 Ce 2.94-3.00, 2 Pm 2.99, 1 Ac 3.07
Se (0.7404, 0.7404, 0.2516)  3 Ce 2.94-3.00, 2 Pm 2.99, 1 Ac 3.07
Se (0.0855, 0.4285, 0.2560)  3 Ce 2.96-3.01, 2 Pm 3.00, 1 Ac 3.09


Compound: LiZrInAg
Source: Alexandria via LeMat-Bulk
Functional: PBE
Structure: relaxed

Uncorrected energy: -4.17 eV/atom
N(E_F): 0.471 states/eV/atom
Calculated density: 6.756 g/cm3
Formation enthalpy at 0 K: -0.155 eV/atom

Cell lengths 4.8134, 4.8134, 4.8134 Å; angles 60.00, 60.00, 60.00 degrees
Last column: nearest neighbours and their distance in Å.
Sites, in units of the cell vectors:
Zr (0.2500, 0.2500, 0.2500)  4 Ag 2.95, 4 In 2.95
Li (0.7500, 0.7500, 0.7500)  4 In 2.95, 4 Ag 2.95
Ag (0.0000, 0.0000, 0.0000)  4 Li 2.95, 4 Zr 2.95
In (0.5000, 0.5000, 0.5000)  4 Zr 2.95, 4 Li 2.95


Compound: K3AcTb2Te6
Source: Alexandria via LeMat-Bulk
Functional: PBE
Structure: relaxed

Uncorrected energy: -4.39 eV/atom
Formation energy from raw total energies: -1.426 eV per atom
N(E_F): 0.000 states/eV/atom
Calculated density: 5.160 g/cm3

Cell lengths 8.0158, 8.0158, 8.6835 Å; angles 98.88, 98.88, 120.02 degrees
Last column: nearest neighbours and their distance in Å.
Sites, in units of the cell vectors:
Tb (0.6672, 0.3328, 0.0000)  6 Te 3.14-3.15
Ac (0.0000, 0.0000, 0.0000)  6 Te 3.31-3.32
Te (0.9287, 0.5782, 0.7867)  2 Tb 3.14-3.15, 1 Ac 3.32, 1 K 3.50
K (0.5000, 0.5000, 0.5000)  6 Te 3.47-3.62
Tb (0.3328, 0.6672, 0.0000)  6 Te 3.14-3.15
Te (0.0713, 0.4218, 0.2133)  2 Tb 3.14-3.15, 1 Ac 3.32, 1 K 3.50
K (0.8371, 0.1629, 0.5000)  6 Te 3.50-3.63
Te (0.4218, 0.0713, 0.2133)  2 Tb 3.14-3.15, 1 Ac 3.32, 1 K 3.50
Te (0.7203, 0.7203, 0.2127)  2 Tb 3.15, 1 Ac 3.31, 1 K 3.47
K (0.1629, 0.8371, 0.5000)  6 Te 3.50-3.63
Te (0.5782, 0.9287, 0.7867)  2 Tb 3.14-3.15, 1 Ac 3.32, 1 K 3.50
Te (0.2797, 0.2797, 0.7873)  2 Tb 3.15, 1 Ac 3.31, 1 K 3.47